First-principles (PBE) data for a relaxed SrZr2Sc2 crystal, as listed in the Alexandria database.

Output
volume: 277 Å³/cell
energy relative to the lowest polymorph listed for this composition: 0.000 eV per atom
magnetic moment: 0.00 μB per cell
uncorrected energy: -6.10 eV per atom

abc: 9.005 9.005 3.421
angles: 90.00 90.00 90.00
Element x y z (fractional)
Sr1 0.000 0.000 0.000
Sr2 0.500 0.500 0.000
Zr1 0.116 0.384 0.000
Zr2 0.384 0.884 0.000
Zr3 0.616 0.116 0.000
Zr4 0.884 0.616 0.000
Sc1 0.171 0.671 0.500
Sc2 0.329 0.171 0.500
Sc3 0.671 0.829 0.500
Sc4 0.829 0.329 0.500